Density functional theory data (PBE) for TmSn2Ru after structural relaxation.

energy	-5.7365	eV/atom
calculated volume	83.5	Å³/cell

a = 3.3172 Å, b = 3.3172 Å, c = 7.5879 Å
α = 90.00°, β = 90.00°, γ = 90.00°
Space group P4/mmm (No. 123)
Symmetry-distinct sites (fractional):
Tm  0.0000  0.0000  0.0000 (multiplicity 1)
Sn  0.5000  0.5000  0.2908 (multiplicity 2)
Ru  0.0000  0.0000  0.5000 (multiplicity 1)


Density functional theory data (PBE) for Al12V6Ge after structural relaxation.

energy	-5.2932	eV/atom
calculated volume	953.7	Å³/cell

a = 11.9829 Å, b = 11.9829 Å, c = 7.6689 Å
α = 90.00°, β = 90.00°, γ = 120.00°
Space group R-3m (No. 166, hexagonal axes)
Symmetry-distinct sites (fractional):
Al  0.0000  0.3861  0.0000 (multiplicity 18)
Al  0.0825  0.1651  0.7278 (multiplicity 18)
V  0.0938  0.5469  0.7074 (multiplicity 18)
Ge  0.0000  0.0000  0.5000 (multiplicity 3)


Density functional theory data (PBE) for LaAl2Au4 after structural relaxation.

energy	-4.2566	eV/atom
calculated volume	569.6	Å³/cell

a = 17.9429 Å, b = 4.3777 Å, c = 7.2519 Å
α = 90.00°, β = 90.00°, γ = 90.00°
Space group Pnma (No. 62)
Symmetry-distinct sites (fractional):
La  0.1190  0.2500  0.0025 (multiplicity 4)
Al  0.0427  0.7500  0.6748 (multiplicity 4)
Al  0.2375  0.2500  0.5000 (multiplicity 4)
Au  0.0320  0.7500  0.2471 (multiplicity 4)
Au  0.0941  0.2500  0.4872 (multiplicity 4)
Au  0.1864  0.7500  0.7027 (multiplicity 4)
Au  0.1932  0.7500  0.3021 (multiplicity 4)


Density functional theory data (PBE) for BaF2 after structural relaxation.

calculated volume	105.5	Å³/cell
formation energy from raw total energies	-3.6236	eV per atom

a = 3.6699 Å, b = 3.6699 Å, c = 7.8303 Å
α = 90.00°, β = 90.00°, γ = 90.00°
Space group I4/mmm (No. 139)
Symmetry-distinct sites (fractional):
Ba  0.0000  0.0000  0.0000 (multiplicity 2)
F  0.0000  0.0000  0.3416 (multiplicity 4)


Density functional theory data (PBE) for K2PtBr after structural relaxation.

calculated volume	150.4	Å³/cell
formation energy from raw total energies	-0.3555	eV per atom

a = 4.7220 Å, b = 4.7220 Å, c = 6.7450 Å
α = 90.00°, β = 90.00°, γ = 90.00°
Space group P4mm (No. 99)
Symmetry-distinct sites (fractional):
K  0.0000  0.0000  0.0000 (multiplicity 1)
K  0.5000  0.5000  0.4995 (multiplicity 1)
Pt  0.0000  0.0000  0.5004 (multiplicity 1)
Br  0.5000  0.5000  0.9995 (multiplicity 1)


Density functional theory data (PBE) for TlAg2Br2 after structural relaxation.

calculated volume	267.7	Å³/cell
formation energy from raw total energies	-0.1298	eV per atom

a = 8.1966 Å, b = 8.1966 Å, c = 3.9839 Å
α = 90.00°, β = 90.00°, γ = 90.00°
Space group P4/mbm (No. 127)
Symmetry-distinct sites (fractional):
Tl  0.0000  0.0000  0.0000 (multiplicity 2)
Ag  0.1182  0.3818  0.0000 (multiplicity 4)
Br  0.2029  0.7029  0.5000 (multiplicity 4)


Density functional theory data (PBE) for SrLi4Sn4 after structural relaxation.

energy	-3.1599	eV/atom
calculated volume	422.2	Å³/cell

a = 9.4638 Å, b = 9.4638 Å, c = 4.7138 Å
α = 90.00°, β = 90.00°, γ = 90.00°
Space group I4/m (No. 87)
Symmetry-distinct sites (fractional):
Sr  0.0000  0.0000  0.0000 (multiplicity 2)
Li  0.0837  0.3916  0.0000 (multiplicity 8)
Sn  0.1460  0.2501  0.5000 (multiplicity 8)


Density functional theory data (PBE) for Pu2SiGe after structural relaxation.

calculated volume	82.8	Å³/cell
formation energy from raw total energies	-0.4130	eV per atom

a = 3.8353 Å, b = 3.8353 Å, c = 5.6317 Å
α = 90.00°, β = 90.00°, γ = 90.00°
Space group P4/mmm (No. 123)
Symmetry-distinct sites (fractional):
Pu  0.0000  0.0000  0.2464 (multiplicity 2)
Si  0.5000  0.5000  0.0000 (multiplicity 1)
Ge  0.5000  0.5000  0.5000 (multiplicity 1)


Density functional theory data (PBE) for Pm2Dy2Ho after structural relaxation.

energy	-4.6384	eV/atom
calculated volume	658.1	Å³/cell

a = 15.8258 Å, b = 6.3140 Å, c = 6.7857 Å
α = 90.00°, β = 103.93°, γ = 90.00°
Space group C2/c (No. 15)
Symmetry-distinct sites (fractional):
Pm  0.1992  0.0855  0.1512 (multiplicity 8)
Dy  0.0979  0.4168  0.4516 (multiplicity 8)
Ho  0.0000  0.0835  0.7500 (multiplicity 4)


Density functional theory data (PBE) for Cr2Mo4W after structural relaxation.

energy	-10.5800	eV/atom
calculated volume	211.0	Å³/cell

a = 3.1800 Å, b = 21.2614 Å, c = 3.1212 Å
α = 90.00°, β = 90.00°, γ = 90.00°
Space group Cmmm (No. 65)
Symmetry-distinct sites (fractional):
Cr  0.0000  0.2125  0.0000 (multiplicity 4)
Mo  0.0000  0.0744  0.0000 (multiplicity 4)
Mo  0.0000  0.3489  0.5000 (multiplicity 4)
W  0.0000  0.5000  0.5000 (multiplicity 2)


Density functional theory data (PBE) for AuSeBr2Cl after structural relaxation.

calculated volume	138.7	Å³/cell
formation energy from raw total energies	0.8485	eV per atom

a = 5.2427 Å, b = 5.2427 Å, c = 5.0468 Å
α = 90.00°, β = 90.00°, γ = 90.00°
Space group P4/mmm (No. 123)
Symmetry-distinct sites (fractional):
Au  0.0000  0.0000  0.0000 (multiplicity 1)
Se  0.5000  0.5000  0.0000 (multiplicity 1)
Br  0.0000  0.5000  0.5000 (multiplicity 2)
Cl  0.5000  0.5000  0.5000 (multiplicity 1)


Density functional theory data (PBE) for Pm12GePt6 after structural relaxation.

energy	-5.9134	eV/atom
calculated volume	1753.0	Å³/cell

a = 13.0165 Å, b = 13.0165 Å, c = 11.9473 Å
α = 90.00°, β = 90.00°, γ = 120.00°
Space group R-3 (No. 148, hexagonal axes)
Symmetry-distinct sites (fractional):
Pm  0.0277  0.8126  0.3930 (multiplicity 18)
Pm  0.0362  0.8235  0.8870 (multiplicity 18)
Ge  0.0000  0.0000  0.0000 (multiplicity 3)
Pt  0.0410  0.7826  0.6467 (multiplicity 18)


Density functional theory data (PBE) for AcSmAsS after structural relaxation.

calculated volume	332.0	Å³/cell
formation energy from raw total energies	-1.7693	eV per atom

a = 4.2825 Å, b = 4.2825 Å, c = 20.9008 Å
α = 90.00°, β = 90.00°, γ = 120.00°
Space group R3m (No. 160, hexagonal axes)
Symmetry-distinct sites (fractional):
Ac  0.0000  0.0000  0.0000 (multiplicity 3)
Sm  0.0000  0.0000  0.4990 (multiplicity 3)
As  0.0000  0.0000  0.2431 (multiplicity 3)
S  0.0000  0.0000  0.7554 (multiplicity 3)


Density functional theory data (PBE) for Li2AcInAu5 after structural relaxation.

energy	-3.4598	eV/atom
calculated volume	186.8	Å³/cell

a = 4.9474 Å, b = 4.9474 Å, c = 7.6336 Å
α = 90.00°, β = 90.00°, γ = 90.00°
Space group P4/mmm (No. 123)
Symmetry-distinct sites (fractional):
Li  0.0000  0.0000  0.1637 (multiplicity 2)
Ac  0.5000  0.5000  0.5000 (multiplicity 1)
In  0.5000  0.5000  0.0000 (multiplicity 1)
Au  0.0000  0.0000  0.5000 (multiplicity 1)
Au  0.0000  0.5000  0.2142 (multiplicity 4)


Density functional theory data (PBE) for ErNi3 after structural relaxation.

energy	-5.7730	eV/atom
calculated volume	56.0	Å³/cell

a = 3.8264 Å, b = 3.8264 Å, c = 3.8264 Å
α = 90.00°, β = 90.00°, γ = 90.00°
Space group Pm-3m (No. 221)
Symmetry-distinct sites (fractional):
Er  0.0000  0.0000  0.0000 (multiplicity 1)
Ni  0.0000  0.5000  0.5000 (multiplicity 3)


Density functional theory data (PBE) for Nd3Zn11 after structural relaxation.

energy	-2.3452	eV/atom
calculated volume	531.8	Å³/cell

a = 4.5095 Å, b = 8.8397 Å, c = 13.3397 Å
α = 90.00°, β = 90.00°, γ = 90.00°
Space group Immm (No. 71)
Symmetry-distinct sites (fractional):
Nd  0.0000  0.0000  0.0000 (multiplicity 2)
Nd  0.0000  0.0000  0.2952 (multiplicity 4)
Zn  0.0000  0.1784  0.5000 (multiplicity 4)
Zn  0.0000  0.2811  0.1402 (multiplicity 8)
Zn  0.0000  0.3584  0.3442 (multiplicity 8)
Zn  0.0000  0.5000  0.0000 (multiplicity 2)


Density functional theory data (PBE) for La2TlNiPb after structural relaxation.

energy	-4.7287	eV/atom
calculated volume	146.7	Å³/cell

a = 5.4125 Å, b = 5.4125 Å, c = 5.0074 Å
α = 90.00°, β = 90.00°, γ = 90.00°
Space group P4/mmm (No. 123)
Symmetry-distinct sites (fractional):
La  0.0000  0.5000  0.0000 (multiplicity 2)
Tl  0.0000  0.0000  0.5000 (multiplicity 1)
Ni  0.0000  0.0000  0.0000 (multiplicity 1)
Pb  0.5000  0.5000  0.5000 (multiplicity 1)


Density functional theory data (PBE) for KGaSb3 after structural relaxation.

calculated volume	351.1	Å³/cell
formation energy from raw total energies	-0.1416	eV per atom

a = 7.0707 Å, b = 8.8385 Å, c = 5.6184 Å
α = 90.00°, β = 90.00°, γ = 90.00°
Space group Pmn2_1 (No. 31)
Symmetry-distinct sites (fractional):
K  0.0000  0.0908  0.0000 (multiplicity 2)
Ga  0.0000  0.5289  0.3089 (multiplicity 2)
Sb  0.0000  0.7657  0.6164 (multiplicity 2)
Sb  0.2456  0.3158  0.4952 (multiplicity 4)


Density functional theory data (PBE) for CdH2Rh after structural relaxation.

energy	-3.2388	eV/atom
calculated volume	164.2	Å³/cell

a = 5.4754 Å, b = 5.4754 Å, c = 5.4754 Å
α = 90.00°, β = 90.00°, γ = 90.00°
Space group Fm-3m (No. 225)
Symmetry-distinct sites (fractional):
Cd  0.0000  0.0000  0.0000 (multiplicity 4)
H  0.2500  0.2500  0.2500 (multiplicity 8)
Rh  0.0000  0.0000  0.5000 (multiplicity 4)


Density functional theory data (PBE) for La2GaPW after structural relaxation.

energy	-5.3279	eV/atom
calculated volume	143.2	Å³/cell

a = 5.7275 Å, b = 5.7275 Å, c = 4.3648 Å
α = 90.00°, β = 90.00°, γ = 90.00°
Space group P4/mmm (No. 123)
Symmetry-distinct sites (fractional):
La  0.0000  0.5000  0.0000 (multiplicity 2)
Ga  0.0000  0.0000  0.0000 (multiplicity 1)
P  0.0000  0.0000  0.5000 (multiplicity 1)
W  0.5000  0.5000  0.5000 (multiplicity 1)